DFT (PBE) results for a relaxed LiTi3Te crystal.

```
5
Lattice="5.057 0.000 0.000 0.000 5.057 0.000 0.000 0.000 5.057" Properties=species:S:1:pos:R:3 pbc="T T T"
Li 0.000 0.000 0.000
Ti 0.000 2.528 2.528
Ti 2.528 0.000 2.528
Ti 2.528 2.528 0.000
Te 2.528 2.528 2.528
```

Values from the calculation:
**E_tot**: -24.96 eV per cell
**V**: 129 Å³ per cell
**Offset from the most stable computed form**: 0.265 eV per atom